CsNaH2 after structural relaxation. Source: Alexandria via LeMat-Bulk, functional PBE.

Cell lengths 4.498, 4.498, 8.921 Å; angles 90.00, 90.00, 90.00 degrees
Space group P4/nmm (No. 129, origin choice 2)
Symmetry-distinct sites (fractional):
Cs 0.250 0.250 0.181 (multiplicity 2)
Na 0.250 0.250 0.581 (multiplicity 2)
H 0.250 0.250 0.834 (multiplicity 2)
H 0.250 0.750 0.500 (multiplicity 2)

## Properties
Electronic total energy ... -2.4051 eV per atom
Magnetization ... 0.00 μB/cell